The following is a DFT calculation (PBE+U) of CoCu2F6 after structural relaxation.

a = 3.7230 Å, b = 5.7000 Å, c = 6.6546 Å
α = 120.61°, β = 90.00°, γ = 109.06°
Last column: magnetic moment on the atom in μB.
Fractional coordinates of all 9 atoms:
F  0.9992  0.9984  0.8012  0.09
F  0.6330  0.2659  0.5717  0.12
F  0.0008  0.0016  0.1988  0.09
F  0.7119  0.4238  0.1128  0.13
F  0.3670  0.7341  0.4283  0.12
F  0.2881  0.5762  0.8872  0.13
Co  0.0000  0.0000  0.5000  2.81
Cu  0.8221  0.6441  0.8707  0.75
Cu  0.1779  0.3559  0.1293  0.75

Computed properties:
Energy above the most stable polymorph in this dataset   0.0 kJ per mole of atoms
Space group   No. 12
Fermi-level density of states   3.39 states/eV per cell